# 1
Co2Ir2O5 | PBE+U | relaxed

Unit cell a=8.4375 b=3.3767 c=3.3767 alpha=90.00 beta=90.00 gamma=90.00
Site moments in Bohr magnetons follow the coordinates.
Element x y z (fractional)
Co (0.7299, 0.5000, 0.5000)  2.72
Co (0.2701, 0.5000, 0.5000)  2.72
O (0.1404, 0.5000, 0.0000)  0.18
O (0.8596, 0.0000, 0.5000)  0.11
O (0.1404, 0.0000, 0.5000)  0.11
O (0.8596, 0.5000, 0.0000)  0.18
O (0.5000, 0.5000, 0.5000)  0.21
Ir (0.0000, 0.0000, 0.0000)  0.05
Ir (0.5000, 0.0000, 0.0000)  1.15

Results
The calculation puts the total magnetic moment at 7.555 μB/f.u. The total energy comes out at -6.06 eV/atom. The space group is No. 123.



# 2
CoIr2O4 | PBE+U | relaxed

Unit cell a=6.1056 b=6.1056 c=6.1056 alpha=119.99 beta=90.01 gamma=119.99
Element x y z (fractional)
O (0.6150, 0.2299, 0.8449)
O (0.6149, 0.2299, 0.3850)
O (0.1350, 0.7299, 0.8649)
O (0.1551, 0.7701, 0.3850)
O (0.1350, 0.2701, 0.4051)
O (0.5949, 0.7299, 0.8650)
O (0.6150, 0.7701, 0.3851)
O (0.1351, 0.2701, 0.8650)
Co (0.0000, 0.0000, 0.0000)
Co (0.7500, 0.5000, 0.2500)
Ir (0.3750, 0.7500, 0.1250)
Ir (0.8750, 0.2500, 0.6250)
Ir (0.3750, 0.7500, 0.6250)
Ir (0.3750, 0.2500, 0.6250)

Results
The calculation puts the total magnetic moment at 2.997 μB/f.u. The total energy comes out at -6.63 eV/atom. The space group is No. 227.



# 3
CoIrPb2O6 | PBE+U | relaxed

Unit cell a=5.5946 b=5.5946 c=5.5946 alpha=60.00 beta=60.00 gamma=60.00
Site moments in Bohr magnetons follow the coordinates.
Element x y z (fractional)
Pb (0.2500, 0.2500, 0.2500)  0.03
Pb (0.7500, 0.7500, 0.7500)  0.03
O (0.2549, 0.2549, 0.7451)  0.19
O (0.2549, 0.7451, 0.2549)  0.16
O (0.7451, 0.2549, 0.7451)  0.16
O (0.7451, 0.2549, 0.2549)  0.19
O (0.7451, 0.7451, 0.2549)  0.19
O (0.2549, 0.7451, 0.7451)  0.19
Co (0.0000, 0.0000, 0.0000)  2.82
Ir (0.5000, 0.5000, 0.5000)  1.10

Results
The calculation puts the total magnetic moment at 5.289 μB/f.u. Its energy above the most stable polymorph in this dataset is 8.7 kJ per mole of atoms. The space group is No. 225.



# 4
CoIrPb2O6 | PBE+U | relaxed

Unit cell a=5.5902 b=5.5902 c=5.6687 alpha=120.39 beta=120.39 gamma=59.79
Site moments in Bohr magnetons follow the coordinates.
Element x y z (fractional)
O (0.1919, 0.7028, 0.1882)  0.02
O (0.7028, 0.1919, 0.1882)  0.02
O (0.8081, 0.2972, 0.8118)  0.02
O (0.2972, 0.8081, 0.8118)  0.02
O (0.2404, 0.2404, 0.3298)  0.00
O (0.7596, 0.7596, 0.6702)  0.00
Ir (0.0000, 0.0000, 0.0000)  -0.12
Pb (0.2476, 0.2476, 0.7628)  0.00
Pb (0.7524, 0.7524, 0.2372)  0.00
Co (0.5000, 0.5000, 0.5000)  2.70

Results
The calculation puts the total magnetic moment at 2.669 μB/f.u. Its energy above the most stable polymorph in this dataset is 0.0 kJ per mole of atoms. The space group is No. 12.



- Look up the total magnetic moment of the first one.
  7.555 μB/f.u.



- Among the records above, which one has the lowest total magnetic moment?
  number 4



Repeat the third record exactly.
CoIrPb2O6 | PBE+U | relaxed

Unit cell a=5.5946 b=5.5946 c=5.5946 alpha=60.00 beta=60.00 gamma=60.00
Site moments in Bohr magnetons follow the coordinates.
Element x y z (fractional)
Pb (0.2500, 0.2500, 0.2500)  0.03
Pb (0.7500, 0.7500, 0.7500)  0.03
O (0.2549, 0.2549, 0.7451)  0.19
O (0.2549, 0.7451, 0.2549)  0.16
O (0.7451, 0.2549, 0.7451)  0.16
O (0.7451, 0.2549, 0.2549)  0.19
O (0.7451, 0.7451, 0.2549)  0.19
O (0.2549, 0.7451, 0.7451)  0.19
Co (0.0000, 0.0000, 0.0000)  2.82
Ir (0.5000, 0.5000, 0.5000)  1.10

Results
The calculation puts the total magnetic moment at 5.289 μB/f.u. Its energy above the most stable polymorph in this dataset is 8.7 kJ per mole of atoms. The space group is No. 225.



- Number 1 is which compound?
  Co2Ir2O5